An optimized crystal structure of CeScHgRu, computed with PBE.

Results
As for the excess energy over the best structure of this formula in the dataset: 200 meV/atom. Its space-group type is F-43m, No. 216.

a b c (Å): 4.9668 4.9668 4.9668
angles (deg): 60.00 60.00 60.00
Positions (direct):
Sc 0.7500 0.7500 0.7500
Ru 0.0000 0.0000 0.0000
Hg 0.5000 0.5000 0.5000
Ce 0.2500 0.2500 0.2500

An optimized crystal structure of HfSb3Se, computed with PBE.

Results
As for the uncorrected formation energy: 752 meV per atom. As for the excess energy over the best structure of this formula in the dataset: 340 meV/atom. Its space-group type is Pm-3m, No. 221.

a b c (Å): 5.2724 5.2724 5.2724
angles (deg): 90.00 90.00 90.00
Positions (direct):
Sb 0.0000 0.5000 0.0000
Sb 0.0000 0.0000 0.5000
Sb 0.5000 0.0000 0.0000
Hf 0.5000 0.5000 0.5000
Se 0.0000 0.0000 0.0000